[1]
# BaLiSiP2

A geometry-optimized BaLiSiP2 structure (PBE-GGA, Alexandria via LeMat-Bulk).

Unit cell a=5.8035 b=7.1745 c=6.1986 alpha=90.00 beta=90.00 gamma=113.86
Last column: nearest neighbours and their distance in Å.
Atoms (fractional coordinates):
Ba  0.7500  0.5000  0.7593  6 P 3.31-3.49, 2 Li 3.65
Ba  0.2500  0.5000  0.2407  6 P 3.31-3.49, 2 Li 3.65
Li  0.0000  0.0000  0.5000  2 P 2.34
Li  0.5000  0.0000  0.5000  2 P 2.34
Si  0.7500  0.0000  0.0000  4 P 2.33
Si  0.2500  0.0000  0.0000  4 P 2.33
P  0.8958  0.7917  0.1945  2 Si 2.33, 1 Li 2.34
P  0.6042  0.2083  0.1945  2 Si 2.33, 1 Li 2.34
P  0.3958  0.7917  0.8055  2 Si 2.33, 1 Li 2.34
P  0.1042  0.2083  0.8055  2 Si 2.33, 1 Li 2.34

Values from the calculation:
total magnetic moment	0.0	μB/f.u.
D(E_F)	4.43	states/eV/cell
ΔE_f (raw)	-2.53	eV per formula unit
V	236.0	Å³ per cell

[2]
# NdDy4In5

A geometry-optimized NdDy4In5 structure (PBE-GGA, Alexandria via LeMat-Bulk).

Unit cell a=3.7750 b=3.7750 c=18.9888 alpha=90.00 beta=90.00 gamma=90.00
Last column: nearest neighbours and their distance in Å.
Atoms (fractional coordinates):
Nd  0.0000  0.0000  0.0000  8 In 3.36
Dy  0.0000  0.0000  0.2053  8 In 3.25-3.26
Dy  0.0000  0.0000  0.4019  8 In 3.26
Dy  0.0000  0.0000  0.5981  8 In 3.26
Dy  0.0000  0.0000  0.7947  8 In 3.25-3.26
In  0.5000  0.5000  0.1076  4 Dy 3.25, 4 Nd 3.36
In  0.5000  0.5000  0.3037  8 Dy 3.26
In  0.5000  0.5000  0.5000  8 Dy 3.26
In  0.5000  0.5000  0.6963  8 Dy 3.26
In  0.5000  0.5000  0.8924  4 Dy 3.25, 4 Nd 3.36

Values from the calculation:
total magnetic moment	0.0	μB/f.u.
D(E_F)	5.66	states/eV/cell
V	270.6	Å³ per cell
uncorrected energy	-4.159	eV/atom

[3]
# Zr6Os5Rh

A geometry-optimized Zr6Os5Rh structure (PBE-GGA, Alexandria via LeMat-Bulk).

Unit cell a=4.6545 b=6.5784 c=8.0587 alpha=114.09 beta=106.85 gamma=90.00
Last column: nearest neighbours and their distance in Å.
Atoms (fractional coordinates):
Os  0.6668  0.1668  0.3335  8 Zr 2.84-2.86
Os  0.3338  0.3338  0.6675  8 Zr 2.84-2.85
Os  0.0000  0.5000  0.0000  8 Zr 2.84-2.85
Os  0.6662  0.6662  0.3325  8 Zr 2.84-2.85
Os  0.3332  0.8332  0.6665  8 Zr 2.84-2.86
Rh  0.0000  0.0000  0.0000  8 Zr 2.85-2.86
Zr  0.8331  0.5823  0.6660  7 Os 2.84-2.85, 1 Rh 2.85
Zr  0.8330  0.0838  0.6660  7 Os 2.84-2.85, 1 Rh 2.85
Zr  0.5001  0.7484  0.0000  6 Os 2.84-2.86, 2 Rh 2.86
Zr  0.4999  0.2516  0.0000  6 Os 2.84-2.86, 2 Rh 2.86
Zr  0.1670  0.9162  0.3340  7 Os 2.84-2.85, 1 Rh 2.85
Zr  0.1669  0.4177  0.3340  7 Os 2.84-2.85, 1 Rh 2.85

Values from the calculation:
total magnetic moment	0.0	μB/f.u.
D(E_F)	4.26	states/eV/cell
V	213.6	Å³ per cell
uncorrected energy	-10.124	eV/atom